Here is a relaxed structure of V5GaP from Alexandria via LeMat-Bulk. Energies are from PBE.

## Properties
Its magnetization is 0.00 μB/cell. The total energy comes out at -0.29174 Ha/atom. The formation energy comes out at -0.22 eV/atom. For the density of states at the Fermi level, the calculation gives 6.58 states/eV/f.u.

Lattice parameters (Å, degrees): 4.4050 4.4050 10.1007 82.26 82.26 94.08
With the nearest neighbours (Å) after each atom.
Sites, in units of the cell vectors:
1 V 0.8145 0.5160 0.4171  3 V 2.49-2.59, 2 P 2.52-2.54, 1 Ga 2.65
2 V 0.9475 0.5005 0.1242  3 V 2.36-2.50, 1 P 2.36, 1 Ga 2.56
3 V 0.1855 0.4840 0.5829  3 V 2.49-2.59, 2 P 2.52-2.54, 1 Ga 2.65
4 V 0.5160 0.8145 0.9171  3 V 2.49-2.59, 2 P 2.52-2.54, 1 Ga 2.65
5 V 0.4995 0.0525 0.3758  3 V 2.36-2.50, 1 P 2.36, 1 Ga 2.56
6 Ga 0.4038 0.5962 0.2500  7 V 2.56-2.71
7 V 0.4840 0.1855 0.0829  3 V 2.49-2.59, 2 P 2.52-2.54, 1 Ga 2.65
8 P 0.0000 0.0000 0.5000  8 V 2.36-2.54
9 V 0.9836 0.0164 0.2500  4 V 2.36-2.59, 2 P 2.53
10 V 0.5005 0.9475 0.6242  3 V 2.36-2.50, 1 P 2.36, 1 Ga 2.56
11 Ga 0.5962 0.4038 0.7500  7 V 2.56-2.71
12 P 0.0000 0.0000 0.0000  8 V 2.36-2.54
13 V 0.0164 0.9836 0.7500  4 V 2.36-2.59, 2 P 2.53
14 V 0.0525 0.4995 0.8758  3 V 2.36-2.50, 1 P 2.36, 1 Ga 2.56

=====

Here is a relaxed structure of Ac2Pm3Y2 from Alexandria via LeMat-Bulk. Energies are from PBE.

## Properties
Its magnetization is 0.00 μB/cell. The total energy comes out at -0.18437 Ha/atom. The formation energy comes out at 0.04 eV/atom. For the density of states at the Fermi level, the calculation gives 10.90 states/eV/f.u.

Lattice parameters (Å, degrees): 3.7235 9.2075 10.3529 60.22 57.35 78.38
With the nearest neighbours (Å) after each atom.
Sites, in units of the cell vectors:
1 Y 0.8111 0.6986 0.8929  5 Pm 3.47-3.76, 4 Y 3.67-3.72, 1 Ac 3.83
2 Pm 0.7879 0.5758 0.2828  4 Pm 3.37-3.72, 3 Y 3.47-3.57, 2 Ac 3.75
3 Pm 0.0000 0.0000 0.0000  4 Pm 3.44-3.72, 4 Y 3.76
4 Ac 0.9171 0.8356 0.4443  4 Ac 3.72-3.99, 6 Pm 3.75-3.91, 3 Y 3.83-3.97
5 Ac 0.0829 0.1644 0.5557  4 Ac 3.72-3.99, 6 Pm 3.75-3.91, 3 Y 3.83-3.97
6 Pm 0.2121 0.4242 0.7172  4 Pm 3.37-3.72, 3 Y 3.47-3.57, 2 Ac 3.75
7 Y 0.1889 0.3014 0.1071  5 Pm 3.47-3.76, 4 Y 3.67-3.72, 1 Ac 3.83

=====

Here is a relaxed structure of KCuOsBr6 from Alexandria via LeMat-Bulk. Energies are from PBE.

## Properties
Its magnetization is 2.06 μB/cell. The total energy comes out at -0.12605 Ha/atom. For the energy relative to the elements, uncorrected, the calculation gives -0.4900 eV/atom. For the density of states at the Fermi level, the calculation gives 4.28 states/eV/f.u.

Lattice parameters (Å, degrees): 6.7473 6.7471 7.3706 90.01 90.00 60.00
With the nearest neighbours (Å) after each atom.
Sites, in units of the cell vectors:
1 Os 0.3333 0.3333 0.5000  6 Br 2.51
2 Br 0.0154 0.3572 0.3074  1 Os 2.51, 1 Cu 2.65
3 Cu 0.6667 0.6667 0.5000  6 Br 2.65
4 Br 0.3572 0.0155 0.6926  1 Os 2.51, 1 Cu 2.65
5 Br 0.3573 0.6272 0.3074  1 Os 2.51, 1 Cu 2.65
6 Br 0.6272 0.3573 0.6926  1 Os 2.51, 1 Cu 2.65
7 K 0.0000 0.0000 0.0000  6 Br 3.35
8 Br 0.0153 0.6274 0.6926  1 Os 2.51, 1 Cu 2.65
9 Br 0.6273 0.0153 0.3074  1 Os 2.51, 1 Cu 2.65

=====

Here is a relaxed structure of BaNi2TePt from Alexandria via LeMat-Bulk. Energies are from PBE.

## Properties
Its magnetization is 2.25 μB/cell. The total energy comes out at -0.15653 Ha/atom. For the energy relative to the elements, uncorrected, the calculation gives 0.2741 eV/atom. For the density of states at the Fermi level, the calculation gives 7.93 states/eV/f.u.

Lattice parameters (Å, degrees): 4.8103 6.0662 4.8103 90.00 90.00 90.00
With the nearest neighbours (Å) after each atom.
Sites, in units of the cell vectors:
1 Ni 0.5000 0.0000 0.0000  2 Pt 2.41
2 Te 0.5000 0.5000 0.5000  4 Ba 3.40
3 Ba 0.0000 0.5000 0.0000  2 Pt 3.03
4 Pt 0.0000 0.0000 0.0000  4 Ni 2.41
5 Ni 0.0000 0.0000 0.5000  2 Pt 2.41

=====

Here is a relaxed structure of Cd2Pd5Au from Alexandria via LeMat-Bulk. Energies are from PBE.

## Properties
Its magnetization is 0.00 μB/cell. The total energy comes out at -0.15203 Ha/atom. The formation energy comes out at -0.25 eV/atom. For the density of states at the Fermi level, the calculation gives 9.31 states/eV/f.u. The offset from the most stable computed form comes out at 7 meV per atom.

Lattice parameters (Å, degrees): 5.6904 5.6904 5.6904 118.17 118.17 93.20
With the nearest neighbours (Å) after each atom.
Sites, in units of the cell vectors:
1 Cd 0.7779 0.2778 0.5000  10 Pd 2.84-2.92, 2 Au 2.92
2 Pd 0.2780 0.2778 0.5001  4 Cd 2.84-2.85, 6 Pd 2.85-2.92, 2 Au 2.85
3 Pd 0.7779 0.7778 0.4999  4 Cd 2.84-2.85, 6 Pd 2.85-2.92, 2 Au 2.85
4 Au 0.7778 0.7780 0.0000  8 Pd 2.85, 4 Cd 2.92
5 Pd 0.7778 0.2779 0.0000  4 Cd 2.84-2.85, 2 Au 2.85, 6 Pd 2.85-2.92
6 Pd 0.2778 0.7779 0.0000  6 Pd 2.85-2.92, 4 Cd 2.85, 2 Au 2.85
7 Cd 0.2780 0.7779 0.5000  10 Pd 2.84-2.92, 2 Au 2.92
8 Pd 0.2778 0.2779 0.0000  8 Pd 2.85, 4 Cd 2.92

=====

Here is a relaxed structure of MgSc2TlO from Alexandria via LeMat-Bulk. Energies are from PBE.

## Properties
Its magnetization is 0.00 μB/cell. The total energy comes out at -0.20474 Ha/atom. For the energy relative to the elements, uncorrected, the calculation gives -1.2549 eV/atom. For the density of states at the Fermi level, the calculation gives 2.67 states/eV/f.u.

Lattice parameters (Å, degrees): 4.4469 4.4469 4.4635 90.00 90.00 90.00
With the nearest neighbours (Å) after each atom.
Sites, in units of the cell vectors:
1 Tl 0.5000 0.5000 0.5000  4 Mg 3.14, 8 Sc 3.15
2 Mg 0.0000 0.0000 0.5000  2 O 2.23
3 Sc 0.5000 0.0000 0.0000  2 O 2.22
4 Sc 0.0000 0.5000 0.0000  2 O 2.22
5 O 0.0000 0.0000 0.0000  4 Sc 2.22, 2 Mg 2.23

=====

Here is a relaxed structure of Dy6C2SeI3 from Alexandria via LeMat-Bulk. Energies are from PBE.

## Properties
Its magnetization is 0.00 μB/cell. The total energy comes out at -0.19961 Ha/atom. For the energy relative to the elements, uncorrected, the calculation gives -0.9153 eV/atom. For the density of states at the Fermi level, the calculation gives 3.87 states/eV/f.u.

Lattice parameters (Å, degrees): 6.7801 6.7801 7.7315 98.42 98.42 120.02
With the nearest neighbours (Å) after each atom.
Sites, in units of the cell vectors:
1 Dy 0.6943 0.6943 0.1721  2 C 2.51, 1 Se 2.77
2 C 0.6668 0.3332 0.0000  6 Dy 2.51
3 C 0.3332 0.6668 0.0000  6 Dy 2.51
4 Se 0.0000 0.0000 0.0000  6 Dy 2.77-2.78
5 Dy 0.4211 0.0577 0.1729  2 C 2.51, 1 Se 2.78
6 I 0.1630 0.8370 0.5000  6 Dy 3.20-3.39
7 I 0.5000 0.5000 0.5000  6 Dy 3.18-3.38
8 Dy 0.3057 0.3057 0.8279  2 C 2.51, 1 Se 2.77
9 Dy 0.0577 0.4211 0.1729  2 C 2.51, 1 Se 2.78
10 Dy 0.5789 0.9423 0.8271  2 C 2.51, 1 Se 2.78
11 I 0.8370 0.1630 0.5000  6 Dy 3.20-3.39
12 Dy 0.9423 0.5789 0.8271  2 C 2.51, 1 Se 2.78

=====

Here is a relaxed structure of PrSc2Cd2 from Alexandria via LeMat-Bulk. Energies are from PBE.

## Properties
Its magnetization is 0.63 μB/cell. The total energy comes out at -0.14480 Ha/atom. The formation energy comes out at -0.09 eV/atom. For the density of states at the Fermi level, the calculation gives 7.03 states/eV/f.u. The offset from the most stable computed form comes out at 0 meV per atom.

Lattice parameters (Å, degrees): 3.3054 3.3738 11.6326 81.66 90.00 90.00
With the nearest neighbours (Å) after each atom.
Sites, in units of the cell vectors:
1 Pr 0.0000 0.0000 0.0000  4 Pr 3.31-3.37, 8 Cd 3.39
2 Cd 0.5000 0.3944 0.2111  4 Sc 3.07, 4 Cd 3.31-3.37, 4 Pr 3.39
3 Sc 0.0000 0.8094 0.3812  4 Cd 3.07, 6 Sc 3.21-3.37
4 Sc 0.0000 0.1906 0.6188  4 Cd 3.07, 6 Sc 3.21-3.37
5 Cd 0.5000 0.6056 0.7889  4 Sc 3.07, 4 Cd 3.31-3.37, 4 Pr 3.39